# KCaPbS2 | the Alexandria database | PBE | relaxed
# Density (Mg/m³): 3.161
# Final energy (eV per cell): -13.11
# Crystal system: tetragonal
# Formation energy without anion corrections (eV per formula unit): 1.95
data_KCaPbS2
_cell_length_a 5.9315
_cell_length_b 5.9315
_cell_length_c 5.2333
_cell_angle_alpha 90.00
_cell_angle_beta 90.00
_cell_angle_gamma 90.00
_space_group_name_H-M_alt 'P 4/m m m'
_space_group_IT_number 123
_space_group_name_Hall '-P 4 2'
loop_
_atom_site_label
_atom_site_type_symbol
_atom_site_fract_x
_atom_site_fract_y
_atom_site_fract_z
K1 K 0.0000 0.0000 0.0000
Ca1 Ca 0.0000 0.0000 0.5000
Pb1 Pb 0.5000 0.5000 0.5000
S1 S 0.0000 0.5000 0.0000